(1)
# PBEsol Fe5Co24, optimized geometry
data_Fe5Co24
_cell_length_a 8.512
_cell_length_b 8.512
_cell_length_c 8.512
_cell_angle_alpha 90.00
_cell_angle_beta 90.00
_cell_angle_gamma 90.00
_symmetry_space_group_name_H-M 'I -4 3 m'
_symmetry_Int_Tables_number 217
_symmetry_space_group_name_Hall 'I -4 2 3'
loop_
_atom_site_label
_atom_site_type_symbol
_atom_site_fract_x
_atom_site_fract_y
_atom_site_fract_z
Fe1 Fe 0.000 0.000 0.000
Fe2 Fe 0.182 0.182 0.818
Co1 Co 0.040 0.358 0.358
Co2 Co 0.091 0.091 0.282
# * crystal system: cubic

(2)
# PBEsol FeCo6, optimized geometry
data_FeCo6
_cell_length_a 10.3344
_cell_length_b 10.3344
_cell_length_c 2.4050
_cell_angle_alpha 90.00
_cell_angle_beta 90.00
_cell_angle_gamma 120.00
_symmetry_space_group_name_H-M 'R -3'
_symmetry_Int_Tables_number 148
_symmetry_space_group_name_Hall '-R 3'
loop_
_atom_site_label
_atom_site_type_symbol
_atom_site_fract_x
_atom_site_fract_y
_atom_site_fract_z
Fe1 Fe 0.0000 0.0000 0.0000
Co1 Co 0.0440 0.8082 0.7001
# * crystal system: trigonal
# * excess energy over the best structure of this formula in the dataset: 2.5 kJ/mol of formula units

(3)
# PBEsol Fe5Co3, optimized geometry
data_Fe5Co3
_cell_length_a 8.405
_cell_length_b 3.951
_cell_length_c 5.591
_cell_angle_alpha 90.00
_cell_angle_beta 109.37
_cell_angle_gamma 90.00
_symmetry_space_group_name_H-M 'C 1 m 1'
_symmetry_Int_Tables_number 8
loop_
_symmetry_equiv_pos_as_xyz
'x,y,z'
'x,-y,z'
'x+1/2,y+1/2,z'
'x+1/2,-y+1/2,z'
loop_
_atom_site_label
_atom_site_type_symbol
_atom_site_fract_x
_atom_site_fract_y
_atom_site_fract_z
Fe1 Fe 0.000 0.000 0.000
Fe2 Fe 0.000 0.000 0.499
Fe3 Fe 0.249 0.500 0.124
Fe4 Fe 0.249 0.500 0.624
Fe5 Fe 0.498 0.000 0.749
Co1 Co 0.002 0.500 0.250
Co2 Co 0.249 0.000 0.374
Co3 Co 0.249 0.000 0.874
# * crystal system: monoclinic
# * excess energy over the best structure of this formula in the dataset: 15.9 kJ/mol of formula units

(4)
# PBEsol Fe7Co, optimized geometry
data_Fe7Co
_cell_length_a 2.418
_cell_length_b 7.900
_cell_length_c 4.621
_cell_angle_alpha 90.00
_cell_angle_beta 100.04
_cell_angle_gamma 90.00
_symmetry_space_group_name_H-M 'P 1 2/m 1'
_symmetry_Int_Tables_number 10
loop_
_symmetry_equiv_pos_as_xyz
'x,y,z'
'-x,-y,-z'
'-x,y,-z'
'x,-y,z'
loop_
_atom_site_label
_atom_site_type_symbol
_atom_site_fract_x
_atom_site_fract_y
_atom_site_fract_z
Fe1 Fe 0.000 0.000 0.000
Fe2 Fe 0.000 0.500 0.000
Fe3 Fe 0.251 0.249 0.750
Fe4 Fe 0.500 0.500 0.500
Co1 Co 0.500 0.000 0.500
# * crystal system: monoclinic
# * excess energy over the best structure of this formula in the dataset: 6.2 kJ/mol of formula units

Quick rundown of formation energy from the elements, same order as above: 0.021; 0.085; 0.008; 0.028 eV/atom
Quick rundown of density of states at the Fermi level, same order as above: 46.6; 25.3; 9.0; 7.5 states/eV per cell